1.
DFT (PBE) results for TaNb2I after structural relaxation.

The magnetization comes out at 0.000 μB per cell. Its crystal system is cubic. For the energy above the lowest structure with this stoichiometry, the calculation gives 0.00 eV per formula unit. The energy relative to the elements, uncorrected comes out at 666.8 meV/atom.

```
data_TaNb2I
_chemical_formula_sum 'Ta4 Nb8 I4'
_space_group_name_H-M_alt 'F m -3 m'
_space_group_IT_number 225
_space_group_name_Hall '-F 4 2 3'
_cell_length_a 6.756
_cell_length_b 6.756
_cell_length_c 6.756
_cell_angle_alpha 90.00
_cell_angle_beta 90.00
_cell_angle_gamma 90.00
loop_
_atom_site_label
_atom_site_type_symbol
_atom_site_fract_x
_atom_site_fract_y
_atom_site_fract_z
Ta1 Ta 0.000 0.000 0.000
Nb1 Nb 0.250 0.250 0.250
I1 I 0.000 0.000 0.500
```

***

2.
DFT (PBE) results for KMgSeN2 after structural relaxation.

The magnetization comes out at 5.098 μB per cell. Its crystal system is tetragonal. For the energy above the lowest structure with this stoichiometry, the calculation gives 4.76 eV per formula unit. The energy relative to the elements, uncorrected comes out at 1766.7 meV/atom.

```
data_KMgSeN2
_chemical_formula_sum 'K1 Mg1 Se1 N2'
_space_group_name_H-M_alt 'P 4/m m m'
_space_group_IT_number 123
_space_group_name_Hall '-P 4 2'
_cell_length_a 4.730
_cell_length_b 4.730
_cell_length_c 6.307
_cell_angle_alpha 90.00
_cell_angle_beta 90.00
_cell_angle_gamma 90.00
loop_
_atom_site_label
_atom_site_type_symbol
_atom_site_fract_x
_atom_site_fract_y
_atom_site_fract_z
K1 K 0.000 0.000 0.000
Mg1 Mg 0.500 0.500 0.500
Se1 Se 0.000 0.000 0.500
N1 N 0.000 0.500 0.000
```

***

3.
DFT (PBE) results for Tb3Y after structural relaxation.

The magnetization comes out at 0.001 μB per cell. Its crystal system is orthorhombic. For the energy above the lowest structure with this stoichiometry, the calculation gives 0.00 eV per formula unit.

```
data_Tb3Y
_chemical_formula_sum 'Tb3 Y1'
_space_group_name_H-M_alt 'P m m 2'
_space_group_IT_number 25
_space_group_name_Hall 'P 2 -2'
_cell_length_a 3.643
_cell_length_b 5.663
_cell_length_c 6.310
_cell_angle_alpha 90.00
_cell_angle_beta 90.00
_cell_angle_gamma 90.00
loop_
_atom_site_label
_atom_site_type_symbol
_atom_site_fract_x
_atom_site_fract_y
_atom_site_fract_z
Tb1 Tb 0.000 0.000 0.000
Tb2 Tb 0.000 0.500 0.333
Tb3 Tb 0.500 0.500 0.834
Y1 Y 0.500 0.000 0.500
```